Compound: Ti2AgIO8
Source: Alexandria via LeMat-Bulk
Functional: PBE-GGA
Structure: relaxed

The structure in POSCAR format:
```
Ti2AgIO8
1.0
3.277 -3.381 0.000
3.277 3.381 0.000
0.000 0.000 6.450
Ti Ag I O
2 1 1 8
direct
0.000 0.000 0.231 Ti
0.000 0.000 0.769 Ti
0.500 0.500 0.000 Ag
0.500 0.500 0.500 I
0.175 0.825 0.000 O
0.212 0.788 0.500 O
0.291 0.291 0.283 O
0.291 0.291 0.717 O
0.709 0.709 0.283 O
0.709 0.709 0.717 O
0.788 0.212 0.500 O
0.825 0.175 0.000 O
```

Results
Its size of the total moment is 0.00 μB per cell. The calculation puts the volume at 11.9 Å³ per atom. As for the formation energy (no corrections): -1.4759 eV/atom. Its density of states at the Fermi level is 0.244 states/eV per atom. The value obtained for the total energy is -6.464 eV per atom.